[1]
# CaCdRe4, optimized geometry, DFT PBE
# Formation energy = 2.30 eV per formula unit
data_CaCdRe4
_symmetry_space_group_name_H-M 'F -4 3 m'
_symmetry_Int_Tables_number 216
_symmetry_space_group_name_Hall 'F -4 2 3'
_cell_length_a 7.5697
_cell_length_b 7.5697
_cell_length_c 7.5697
_cell_angle_alpha 90.00
_cell_angle_beta 90.00
_cell_angle_gamma 90.00
loop_
_atom_site_label
_atom_site_type_symbol
_atom_site_fract_x
_atom_site_fract_y
_atom_site_fract_z
Ca1 Ca 0.0000 0.0000 0.0000
Cd1 Cd 0.2500 0.2500 0.7500
Re1 Re 0.1245 0.1245 0.3755


[2]
# CaCdRe, optimized geometry, DFT PBE
# Formation energy = 3.46 eV per formula unit
data_CaCdRe
_symmetry_space_group_name_H-M 'F -4 3 m'
_symmetry_Int_Tables_number 216
_symmetry_space_group_name_Hall 'F -4 2 3'
_cell_length_a 6.8068
_cell_length_b 6.8068
_cell_length_c 6.8068
_cell_angle_alpha 90.00
_cell_angle_beta 90.00
_cell_angle_gamma 90.00
loop_
_atom_site_label
_atom_site_type_symbol
_atom_site_fract_x
_atom_site_fract_y
_atom_site_fract_z
Ca1 Ca 0.0000 0.0000 0.0000
Cd1 Cd 0.0000 0.0000 0.5000
Re1 Re 0.2500 0.2500 0.2500


[3]
# Ca2TlCdRe, optimized geometry, DFT PBE
# Formation energy = 4.93 eV per formula unit
data_Ca2TlCdRe
_symmetry_space_group_name_H-M 'P 4/m m m'
_symmetry_Int_Tables_number 123
_symmetry_space_group_name_Hall '-P 4 2'
_cell_length_a 5.8448
_cell_length_b 5.8448
_cell_length_c 5.1693
_cell_angle_alpha 90.00
_cell_angle_beta 90.00
_cell_angle_gamma 90.00
loop_
_atom_site_label
_atom_site_type_symbol
_atom_site_fract_x
_atom_site_fract_y
_atom_site_fract_z
Ca1 Ca 0.0000 0.5000 0.0000
Tl1 Tl 0.0000 0.0000 0.0000
Cd1 Cd 0.5000 0.5000 0.5000
Re1 Re 0.0000 0.0000 0.5000


[4]
# CaCdRh2, optimized geometry, DFT PBE
# Formation energy = -0.78 eV per formula unit
data_CaCdRh2
_symmetry_space_group_name_H-M 'C m m m'
_symmetry_Int_Tables_number 65
_symmetry_space_group_name_Hall '-C 2 2'
_cell_length_a 6.5251
_cell_length_b 6.5387
_cell_length_c 3.3884
_cell_angle_alpha 90.00
_cell_angle_beta 90.00
_cell_angle_gamma 90.00
loop_
_atom_site_label
_atom_site_type_symbol
_atom_site_fract_x
_atom_site_fract_y
_atom_site_fract_z
Ca1 Ca 0.0000 0.0000 0.0000
Cd1 Cd 0.0000 0.5000 0.0000
Rh1 Rh 0.2500 0.2500 0.5000


[5]
# Ca2CdRh, optimized geometry, DFT PBE
# Formation energy = -1.41 eV per formula unit
data_Ca2CdRh
_symmetry_space_group_name_H-M 'P 4/m m m'
_symmetry_Int_Tables_number 123
_symmetry_space_group_name_Hall '-P 4 2'
_cell_length_a 3.5023
_cell_length_b 3.5023
_cell_length_c 7.8629
_cell_angle_alpha 90.00
_cell_angle_beta 90.00
_cell_angle_gamma 90.00
loop_
_atom_site_label
_atom_site_type_symbol
_atom_site_fract_x
_atom_site_fract_y
_atom_site_fract_z
Ca1 Ca 0.0000 0.0000 0.2121
Cd1 Cd 0.5000 0.5000 0.5000
Rh1 Rh 0.5000 0.5000 0.0000


[6]
# CaCdRh2, optimized geometry, DFT PBE
# Formation energy = -0.47 eV per formula unit
data_CaCdRh2
_symmetry_space_group_name_H-M 'I -4 m 2'
_symmetry_Int_Tables_number 119
_symmetry_space_group_name_Hall 'I -4 -2'
_cell_length_a 4.0791
_cell_length_b 4.0791
_cell_length_c 8.7811
_cell_angle_alpha 90.00
_cell_angle_beta 90.00
_cell_angle_gamma 90.00
loop_
_atom_site_label
_atom_site_type_symbol
_atom_site_fract_x
_atom_site_fract_y
_atom_site_fract_z
Ca1 Ca 0.0000 0.0000 0.0000
Cd1 Cd 0.0000 0.5000 0.7500
Rh1 Rh 0.0000 0.0000 0.5000
Rh2 Rh 0.0000 0.5000 0.2500